This record from Alexandria via LeMat-Bulk describes a geometry-optimized Tm12Tl5Bi2 structure. The functional is PBE.

## Properties
Formation energy   -0.12 eV per atom
Crystal system   monoclinic
Space group   No. 12
Magnetization   0.00 Bohr magnetons per cell

abc: 9.195 9.195 9.998
angles: 100.85 100.85 46.11
Sites, in units of the cell vectors:
1 Tm 0.011 0.011 0.293
2 Tm 0.063 0.575 0.893
3 Tm 0.091 0.614 0.446
4 Tm 0.386 0.909 0.554
5 Tm 0.398 0.398 0.188
6 Tm 0.425 0.937 0.107
7 Tm 0.575 0.063 0.893
8 Tm 0.602 0.602 0.812
9 Tm 0.614 0.091 0.446
10 Tm 0.909 0.386 0.554
11 Tm 0.937 0.425 0.107
12 Tm 0.989 0.989 0.707
13 Tl 0.171 0.171 0.826
14 Tl 0.209 0.209 0.351
15 Tl 0.500 0.500 0.500
16 Tl 0.791 0.791 0.649
17 Tl 0.829 0.829 0.174
18 Bi 0.255 0.745 0.000
19 Bi 0.745 0.255 0.000